Record 1
A plane-wave DFT calculation with PBE-GGA was carried out for crystalline Li2ZrPdRh at its relaxed geometry.

Structure (POSCAR):
```
Li2ZrPdRh
1.0
4.728 0.000 0.000
0.000 4.728 0.000
0.000 0.000 4.728
Li Zr Pd Rh
2 1 1 1
direct
0.000 0.500 0.000
0.500 0.000 0.000
0.000 0.000 0.000
0.000 0.000 0.500
0.500 0.500 0.500
```

Calculated values
D(E_F) ... 4.37 states/eV per cell
Energy of formation from the pure elements ... 6.61 eV per formula unit
Total magnetic moment ... 0.30 μB/atom
Space-group type ... P4/mmm (123)



Record 2
A plane-wave DFT calculation with PBE-GGA was carried out for crystalline ErMgB4 at its relaxed geometry.

Structure (POSCAR):
```
ErMgB4
1.0
-1.705 1.705 5.551
1.705 -1.705 5.551
1.705 1.705 -5.551
Er Mg B
1 1 4
direct
0.000 0.000 0.000
0.250 0.750 0.500
0.414 0.414 0.000
0.586 0.586 0.000
0.672 0.172 0.500
0.828 0.328 0.500
```

Calculated values
D(E_F) ... 2.28 states/eV per cell
Energy of formation from the pure elements ... -1.05 eV per formula unit
Total magnetic moment ... 0.00 μB/atom
Space-group type ... I-4m2 (119)



Record 3
A plane-wave DFT calculation with PBE-GGA was carried out for crystalline NaV3Bi at its relaxed geometry.

Structure (POSCAR):
```
NaV3Bi
1.0
5.349 0.000 0.000
0.000 5.349 0.000
0.000 0.000 5.349
Na V Bi
1 3 1
direct
0.000 0.000 0.000
0.000 0.500 0.500
0.500 0.000 0.500
0.500 0.500 0.000
0.500 0.500 0.500
```

Calculated values
D(E_F) ... 6.89 states/eV per cell
Energy of formation from the pure elements ... 7.11 eV per formula unit
Total magnetic moment ... 2.17 μB/atom
Space-group type ... Pm-3m (221)